The following is a DFT calculation (meta-GGA SCAN) of a crystal of CaMg2Ag2 relaxed with PBEsol.

## Properties
Its energy above the most stable polymorph in this dataset is 0 meV/atom. The total magnetization is 0.00 Bohr magnetons per cell. The calculation puts the formation energy from the elements at -0.274 eV per atom. As for the space-group type: No. 139.

a b c (Å): 4.2661 4.2661 12.5139
angles (deg): 90.00 90.00 90.00
Positions (direct):
Ca 0.0000 0.0000 0.0000
Ca 0.5000 0.5000 0.5000
Mg 0.0000 0.5000 0.2500
Mg 0.0000 0.5000 0.7500
Mg 0.5000 0.0000 0.2500
Mg 0.5000 0.0000 0.7500
Ag 0.0000 0.0000 0.3927
Ag 0.0000 0.0000 0.6073
Ag 0.5000 0.5000 0.1073
Ag 0.5000 0.5000 0.8927